An optimized crystal structure of SiCIN2. Source: Alexandria via LeMat-Bulk, functional PBE-GGA.

The value obtained for the density of states at the Fermi level is 2.12 states/eV per cell. The uncorrected formation energy comes out at 2634 meV/atom. The calculation puts the energy above the most stable polymorph in this dataset at 1163.0 meV/atom. As for the space-group type: P4/mmm (123).

abc: 3.814 3.814 4.332
angles: 90.00 90.00 90.00
Sites, in units of the cell vectors:
Si  0.000  0.000  0.000
C  0.500  0.500  0.500
I  0.500  0.500  0.000
N  0.000  0.500  0.500
N  0.500  0.000  0.500